The following is a DFT calculation (PBE) of a geometry-optimized InTeOs structure. Values from VASP.

Output
DOS at the Fermi energy: 2.9 states/eV/f.u.
ΔE_f (raw): 671 meV/atom
M_tot: 0.00 μB/cell
E_tot: -5.03 eV per atom
SG: P-6m2

```
&SYSTEM
  ibrav = 0, nat = 3, ntyp = 3
/
ATOMIC_SPECIES
In 114.82 In.upf
Os 190.23 Os.upf
Te 127.60 Te.upf
ATOMIC_POSITIONS angstrom
In 0.000 0.000 0.000
Os 1.007 -1.813 2.377
Te -0.994 -2.857 0.895
CELL_PARAMETERS angstrom
-2.101 -3.703 -1.935
3.905 -0.573 2.509
-1.792 -0.394 2.699
```



The following is a DFT calculation (PBE) of a geometry-optimized InTeOs structure. Values from VASP.

Output
DOS at the Fermi energy: 1.8 states/eV/f.u.
ΔE_f (raw): 432 meV/atom
M_tot: 0.00 μB/cell
E_tot: -5.27 eV per atom
SG: I4mm

```
&SYSTEM
  ibrav = 0, nat = 3, ntyp = 3
/
ATOMIC_SPECIES
In 114.82 In.upf
Os 190.23 Os.upf
Te 127.60 Te.upf
ATOMIC_POSITIONS angstrom
In 12.177 4.118 0.000
Os 3.993 1.350 0.000
Te 8.799 2.976 0.000
CELL_PARAMETERS angstrom
6.961 -0.014 0.000
5.524 4.236 0.000
-6.242 -2.111 2.243
```



> Among the records above, which one has the highest E_tot?

number 1